Compound: CaMo2W
Source: Alexandria
Functional: GGA-PBE
Structure: optimized geometry

Unit cell a=4.7222 b=4.7222 c=17.8923 alpha=90.00 beta=90.00 gamma=90.00
Last column: nearest neighbours and their distance in Å.
Space group I-42d (No. 122)
Symmetry-distinct sites (fractional):
Ca 0.0000 0.0000 0.0000 (multiplicity 4)  4 Mo 3.26, 4 W 3.34
Mo 0.0658 0.2500 0.6250 (multiplicity 8)  2 Mo 2.44, 2 W 2.55
W 0.0000 0.0000 0.5000 (multiplicity 4)  4 Mo 2.55

D(E_F): 10.3 states/eV per cell
total magnetization: 0.0 μB per cell
ΔH_f (0 K): 134.4 kJ/mol of atoms
energy above the most stable polymorph in this dataset: 906 meV per atom